Record 1
Ce2Pm5Pb5 PBE relaxed; energy = -4.842 eV/atom; magnetic moment = 2.28 μB/cell; formation enthalpy at 0 K = -328 meV per atom; density of states at the Fermi level = 18.69 states/eV/f.u.
1.0
-1.355 -4.112 -2.535
-1.874 -1.191 7.900
-7.070 6.146 -6.190
Ce Pm Pb
2 5 5
Direct
0.105 0.211 0.761
0.895 0.789 0.239
0.500 0.000 0.500
0.630 0.260 0.981
0.651 0.303 0.308
0.349 0.697 0.692
0.370 0.740 0.019
0.123 0.246 0.469
0.753 0.505 0.808
0.247 0.495 0.192
0.877 0.754 0.531
0.000 0.000 0.000

=====

Record 2
CePm5Pb5 PBE relaxed; energy = -4.690 eV/atom; magnetic moment = 1.36 μB/cell; formation enthalpy at 0 K = -305 meV per atom; density of states at the Fermi level = 13.22 states/eV/f.u.
1.0
6.399 0.000 0.000
-3.199 7.243 -0.008
0.000 -2.721 8.470
Ce Pm Pb
1 5 5
Direct
0.000 0.000 0.000
0.668 0.337 0.334
0.668 0.337 0.834
0.000 0.000 0.500
0.332 0.663 0.166
0.332 0.663 0.666
0.837 0.673 0.170
0.836 0.672 0.667
0.500 0.000 0.000
0.164 0.328 0.333
0.163 0.327 0.830

=====

Record 3
Ce4Pm3Pb4 PBE relaxed; energy = -5.098 eV/atom; magnetic moment = 0.00 μB/cell; formation enthalpy at 0 K = -296 meV per atom; density of states at the Fermi level = 16.98 states/eV/f.u.
1.0
-0.514 2.409 3.082
-4.567 -8.010 5.501
9.820 0.643 -1.389
Ce Pm Pb
4 3 4
Direct
0.306 0.073 0.613
0.694 0.460 0.387
0.694 0.927 0.387
0.306 0.540 0.613
0.114 0.114 0.227
0.886 0.886 0.773
0.000 0.500 0.000
0.217 0.717 0.433
0.783 0.283 0.567
0.500 0.784 0.000
0.500 0.216 0.000

=====

Record 4
Ce4PmPb3 PBE relaxed; energy = -5.263 eV/atom; magnetic moment = 1.55 μB/cell; formation enthalpy at 0 K = -312 meV per atom; density of states at the Fermi level = 17.01 states/eV/f.u.
1.0
4.580 0.000 0.000
0.000 4.691 -1.470
-2.290 -3.327 11.675
Ce Pm Pb
4 1 3
Direct
0.365 0.166 0.731
0.635 0.834 0.269
0.738 0.753 0.477
0.262 0.247 0.523
0.500 0.000 0.000
0.000 0.500 0.000
0.128 0.318 0.256
0.872 0.682 0.744

=====

Record 5
Ce2PmPb3 PBE relaxed; energy = -5.059 eV/atom; magnetic moment = 2.51 μB/cell; formation enthalpy at 0 K = -435 meV per atom; excess energy over the best structure of this formula in the dataset = 0.0 meV/atom; density of states at the Fermi level = 15.05 states/eV/f.u.
1.0
3.597 0.000 0.000
0.000 3.597 0.000
0.000 0.000 13.773
Ce Pm Pb
2 1 3
Direct
0.500 0.500 0.834
0.500 0.500 0.166
0.500 0.500 0.500
0.000 0.000 0.000
0.000 0.000 0.666
0.000 0.000 0.334

=====

Record 6
Ce2PmPb3 PBE relaxed; energy = -5.052 eV/atom; magnetic moment = 5.27 μB/cell; formation enthalpy at 0 K = -429 meV per atom; excess energy over the best structure of this formula in the dataset = 6.9 meV/atom; density of states at the Fermi level = 12.70 states/eV/f.u.
1.0
-4.580 -2.087 3.105
1.760 -8.929 2.227
2.997 2.034 5.784
Ce Pm Pb
4 2 6
Direct
0.000 0.000 0.000
0.000 0.000 0.500
0.333 0.333 0.500
0.667 0.667 0.500
0.332 0.335 0.000
0.668 0.665 0.000
0.834 0.333 0.753
0.498 0.000 0.247
0.166 0.667 0.247
0.833 0.333 0.247
0.167 0.667 0.753
0.502 0.000 0.753